A plane-wave DFT calculation with PBE with a Hubbard U was carried out for an optimized crystal structure of MgCr2O4.

Summary:
The volume is 10.94 A^3/atom. As for the total energy: -7.37 eV/atom. The energy relative to the lowest polymorph listed for this composition comes out at 7.92 kJ/mol of atoms.

Cell: 5.9945 5.9945 14.7655 Å, 90.00 90.00 120.00°
With the nearest neighbours (Å) after each atom.
Space group P3m1 (No. 156)
Inequivalent atoms, fractional coordinates:
Mg: 0.0000 0.0000 0.0000 (multiplicity 1)  4 O 1.97-2.06
Mg: 0.0000 0.0000 0.2433 (multiplicity 1)  4 O 1.99-2.04
Mg: 0.0000 0.0000 0.6226 (multiplicity 1)  6 O 2.05-2.15
Mg: 0.3333 0.6667 0.6658 (multiplicity 1)  4 O 1.97-2.07
Mg: 0.6667 0.3333 0.3282 (multiplicity 1)  4 O 1.98-2.00
Mg: 0.6667 0.3333 0.9580 (multiplicity 1)  6 O 2.06-2.14
Cr: 0.1680 0.3360 0.4519 (multiplicity 3)  6 O 2.01-2.05
Cr: 0.3289 0.1644 0.7865 (multiplicity 3)  6 O 2.01-2.06
Cr: 0.3333 0.6667 0.2869 (multiplicity 1)  6 O 2.01-2.05
Cr: 0.3333 0.6667 0.9090 (multiplicity 1)  4 O 1.94-2.04
Cr: 0.5012 0.0024 0.1212 (multiplicity 3)  6 O 2.01-2.06
Cr: 0.6667 0.3333 0.5753 (multiplicity 1)  4 O 1.93-2.04
O: 0.0000 0.0000 0.3816 (multiplicity 1)  3 Cr 2.03, 1 Mg 2.04
O: 0.0000 0.0000 0.8604 (multiplicity 1)  3 Cr 2.03, 1 Mg 2.06
O: 0.0280 0.5140 0.3746 (multiplicity 3)  1 Mg 2.00, 3 Cr 2.01-2.05
O: 0.1538 0.3076 0.7098 (multiplicity 3)  2 Mg 1.97-2.05, 2 Cr 2.01
O: 0.1823 0.3647 0.2021 (multiplicity 3)  1 Mg 1.99, 3 Cr 2.01-2.05
O: 0.3185 0.1592 0.5299 (multiplicity 3)  3 Cr 1.93-2.05, 1 Mg 2.15
O: 0.3333 0.6667 0.0472 (multiplicity 1)  4 Cr 2.04-2.06
O: 0.3333 0.6667 0.5259 (multiplicity 1)  3 Cr 2.03, 1 Mg 2.07
O: 0.3574 0.1787 0.0450 (multiplicity 3)  2 Mg 1.97-2.06, 2 Cr 2.01
O: 0.5087 0.0175 0.8645 (multiplicity 3)  3 Cr 1.94-2.05, 1 Mg 2.14
O: 0.6667 0.3333 0.1941 (multiplicity 1)  1 Mg 1.98, 3 Cr 2.03
O: 0.6667 0.3333 0.7134 (multiplicity 1)  4 Cr 2.04-2.06